(1)
# Sr4Al14O25 (PBEsol, optimized geometry)
data_Sr4Al14O25
_chemical_formula_sum 'Sr8 Al28 O50'
_symmetry_space_group_name_H-M 'P m m a'
_symmetry_Int_Tables_number 51
_symmetry_space_group_name_Hall '-P 2a 2a'
_cell_length_a 24.744
_cell_length_b 8.502
_cell_length_c 4.890
_cell_angle_alpha 90.00
_cell_angle_beta 90.00
_cell_angle_gamma 90.00
loop_
_atom_site_label
_atom_site_type_symbol
_atom_site_fract_x
_atom_site_fract_y
_atom_site_fract_z
_atom_site_occupancy
Sr1 Sr 0.120 0.000 0.111 1
Sr2 Sr 0.138 0.500 0.040 1
Al1 Al 0.000 0.000 0.500 1
Al2 Al 0.000 0.168 0.000 1
Al3 Al 0.000 0.500 0.000 1
Al4 Al 0.066 0.322 0.507 1
Al5 Al 0.185 0.195 0.625 1
Al6 Al 0.250 0.296 0.129 1
O1 O 0.039 0.000 0.829 1
O2 O 0.043 0.159 0.323 1
O3 O 0.043 0.337 0.849 1
O4 O 0.050 0.500 0.324 1
O5 O 0.137 0.325 0.498 1
O6 O 0.165 0.000 0.577 1
O7 O 0.190 0.228 0.980 1
O8 O 0.250 0.231 0.476 1
O9 O 0.250 0.500 0.108 1
# * formation energy from raw total energies: -3.077 eV per atom
# * crystal system: orthorhombic

---

(2)
# BaSi (PBEsol, optimized geometry)
data_BaSi
_chemical_formula_sum 'Ba3 Si3'
_symmetry_space_group_name_H-M 'R -3 m'
_symmetry_Int_Tables_number 166
_symmetry_space_group_name_Hall '-R 3 2"'
_cell_length_a 4.0863
_cell_length_b 4.0863
_cell_length_c 14.3757
_cell_angle_alpha 90.00
_cell_angle_beta 90.00
_cell_angle_gamma 120.00
loop_
_atom_site_label
_atom_site_type_symbol
_atom_site_fract_x
_atom_site_fract_y
_atom_site_fract_z
_atom_site_occupancy
Ba1 Ba 0.0000 0.0000 0.0000 1
Si1 Si 0.0000 0.0000 0.5000 1
# * formation energy from raw total energies: 0.225 eV per atom
# * crystal system: trigonal

---

(3)
# TlHN2F (PBEsol, optimized geometry)
data_TlHN2F
_chemical_formula_sum 'Tl1 H1 N2 F1'
_symmetry_space_group_name_H-M 'P 4/m m m'
_symmetry_Int_Tables_number 123
_symmetry_space_group_name_Hall '-P 4 2'
_cell_length_a 3.287
_cell_length_b 3.287
_cell_length_c 4.327
_cell_angle_alpha 90.00
_cell_angle_beta 90.00
_cell_angle_gamma 90.00
loop_
_atom_site_label
_atom_site_type_symbol
_atom_site_fract_x
_atom_site_fract_y
_atom_site_fract_z
_atom_site_occupancy
Tl1 Tl 0.000 0.000 0.000 1
H1 H 0.500 0.500 0.500 1
N1 N 0.000 0.500 0.500 1
F1 F 0.500 0.500 0.000 1
# * crystal system: tetragonal

---

Per-record uncorrected energy, eV/atom: -7.632; -3.723; -3.841